Entry 1:
VASP calculation (PBE) on crystalline Pr8AlAg2 at its relaxed geometry.

a b c (Å): 9.599 9.599 7.508
angles (deg): 109.28 109.28 32.04
Fractional coordinates of all 11 atoms:
1 Pr 0.026 0.026 0.275
2 Pr 0.191 0.191 0.805
3 Pr 0.330 0.330 0.527
4 Pr 0.410 0.410 0.041
5 Pr 0.590 0.590 0.959
6 Pr 0.670 0.670 0.473
7 Pr 0.809 0.809 0.195
8 Pr 0.974 0.974 0.725
9 Al 0.500 0.500 0.500
10 Ag 0.181 0.181 0.199
11 Ag 0.819 0.819 0.801

Summary:
Energy relative to the elements (eV per atom): -0.118
Final energy (eV/atom): -4.45

Entry 2:
VASP calculation (PBE) on crystalline Cd3Bi2Pb at its relaxed geometry.

a b c (Å): 5.929 5.929 10.046
angles (deg): 95.91 95.91 102.82
Fractional coordinates of all 12 atoms:
1 Cd 0.043 0.957 0.750
2 Cd 0.084 0.287 0.543
3 Cd 0.287 0.084 0.043
4 Cd 0.713 0.916 0.957
5 Cd 0.916 0.713 0.457
6 Cd 0.957 0.043 0.250
7 Bi 0.205 0.531 0.890
8 Bi 0.469 0.795 0.610
9 Bi 0.531 0.205 0.390
10 Bi 0.795 0.469 0.110
11 Pb 0.350 0.650 0.250
12 Pb 0.650 0.350 0.750

Summary:
Energy relative to the elements (eV per atom): 0.055
Final energy (eV/atom): -2.31

Entry 3:
VASP calculation (PBE) on crystalline SmTm3B at its relaxed geometry.

a b c (Å): 5.100 5.100 5.100
angles (deg): 90.00 90.00 90.00
Fractional coordinates of all 5 atoms:
1 Sm 0.000 0.000 0.000
2 Tm 0.000 0.500 0.500
3 Tm 0.500 0.000 0.500
4 Tm 0.500 0.500 0.000
5 B 0.500 0.500 0.500

Summary:
Energy relative to the elements (eV per atom): 0.037
Final energy (eV/atom): -4.93